# 1
Entry from the Alexandria database: a geometry-optimized Ho2Ni4As3Pd structure (PBE-GGA).

Summary:
total moment: 0.00 μB per formula unit
formation enthalpy at 0 K: -0.731 eV/atom

a = 4.017 Å, b = 4.017 Å, c = 9.956 Å
α = 90.00°, β = 90.00°, γ = 90.00°
Fractional coordinates of all 10 atoms:
Ni (0.000, 0.500, 0.358)
Ni (0.000, 0.000, 0.000)
Ni (0.500, 0.500, 0.000)
Ni (0.500, 0.000, 0.642)
Ho (0.500, 0.000, 0.247)
Ho (0.000, 0.500, 0.753)
As (0.000, 0.500, 0.130)
As (0.500, 0.000, 0.870)
As (0.000, 0.000, 0.500)
Pd (0.500, 0.500, 0.500)

# 2
Entry from the Alexandria database: a geometry-optimized PmHoNi2As2 structure (PBE-GGA).

Summary:
total moment: 0.00 μB per formula unit
formation enthalpy at 0 K: -1.049 eV/atom

a = 4.076 Å, b = 4.076 Å, c = 7.854 Å
α = 90.00°, β = 90.00°, γ = 120.00°
Fractional coordinates of all 6 atoms:
As (0.333, 0.667, 0.258)
As (0.667, 0.333, 0.742)
Ni (0.667, 0.333, 0.258)
Ni (0.333, 0.667, 0.742)
Ho (0.000, 0.000, 0.500)
Pm (0.000, 0.000, 0.000)

# 3
Entry from the Alexandria database: a geometry-optimized PrHoNi2As2 structure (PBE-GGA).

Summary:
total moment: 0.00 μB per formula unit
formation enthalpy at 0 K: -1.038 eV/atom

a = 4.090 Å, b = 4.090 Å, c = 7.935 Å
α = 90.00°, β = 90.00°, γ = 120.00°
Fractional coordinates of all 6 atoms:
As (0.667, 0.333, 0.738)
As (0.333, 0.667, 0.262)
Ni (0.667, 0.333, 0.262)
Ni (0.333, 0.667, 0.738)
Pr (0.000, 0.000, 0.000)
Ho (0.000, 0.000, 0.500)